# 1
Crystalline PRu2Br at its relaxed geometry. Source: Alexandria, functional PBE-GGA.

Structure (extended XYZ):
```
4
Lattice="-1.820 1.820 4.576 1.820 -1.820 4.576 1.820 1.820 -4.576" Properties=species:S:1:pos:R:3 pbc="T T T"
P 0.000 0.000 0.000
Ru 1.820 0.000 2.288
Ru 0.000 0.000 4.576
Br 0.000 1.820 2.288
```

Polymorph energy (0 for the lowest one) ... 0.9151 eV per atom
Formation energy from raw total energies ... 0.810 eV per atom
Density of states at the Fermi level ... 1.3955 states/eV per atom
Space group ... I-4m2 (119)

# 2
Crystalline KTaMn2 at its relaxed geometry. Source: Alexandria, functional PBE-GGA.

Structure (extended XYZ):
```
4
Lattice="-1.549 2.973 4.963 1.549 -2.973 4.963 1.549 2.973 -4.963" Properties=species:S:1:pos:R:3 pbc="T T T"
K 0.000 0.000 0.000
Ta 0.000 0.000 4.963
Mn 1.549 0.000 2.943
Mn 0.000 2.973 2.020
```

Polymorph energy (0 for the lowest one) ... 0.6644 eV per atom
Density of states at the Fermi level ... 0.6228 states/eV per atom
Space group ... Immm (71)
Calculated formation energy ... 116 kJ/mol of atoms

# 3
Crystalline Sc2TlFeH at its relaxed geometry. Source: Alexandria, functional PBE-GGA.

Structure (extended XYZ):
```
5
Lattice="4.706 0.000 0.000 0.000 4.706 0.000 0.000 0.000 3.586" Properties=species:S:1:pos:R:3 pbc="T T T"
Sc 0.000 2.353 0.000
Sc 2.353 0.000 0.000
Tl 0.000 0.000 1.793
Fe 2.353 2.353 1.793
H 2.353 2.353 0.000
```

Density of states at the Fermi level ... 0.6362 states/eV per atom
Space group ... P4/mmm (123)
Uncorrected energy ... -5.59 eV per atom

# 4
Crystalline ZnBiAu3 at its relaxed geometry. Source: Alexandria, functional PBE-GGA.

Structure (extended XYZ):
```
5
Lattice="4.862 0.000 0.000 0.000 4.862 0.000 0.000 0.000 4.862" Properties=species:S:1:pos:R:3 pbc="T T T"
Zn 0.000 0.000 0.000
Bi 2.431 2.431 2.431
Au 0.000 0.000 2.431
Au 0.000 2.431 0.000
Au 2.431 0.000 0.000
```

Polymorph energy (0 for the lowest one) ... 0.2545 eV per atom
Density of states at the Fermi level ... 0.3792 states/eV per atom
Space group ... Pm-3m (221)
Calculated formation energy ... 25 kJ/mol of atoms